# ScSi2Se (PBE, relaxed)
# V	18.780	Å³/atom
# E_tot	-5.5544	eV per atom
# energy relative to the elements, uncorrected	-9.0	kcal/mol of atoms
data_ScSi2Se
_space_group_name_H-M_alt 'P 1'
_space_group_IT_number 1
_cell_length_a 5.686
_cell_length_b 5.686
_cell_length_c 3.837
_cell_angle_alpha 91.09
_cell_angle_beta 91.09
_cell_angle_gamma 37.27
loop_
_space_group_symop_operation_xyz
'x,y,z'
loop_
_atom_site_label
_atom_site_type_symbol
_atom_site_fract_x
_atom_site_fract_y
_atom_site_fract_z
_atom_site_occupancy
Sc1 Sc 0.750 0.750 0.750 1
Se1 Se 0.250 0.250 0.250 1
Si1 Si 0.011 0.011 0.967 1
Si2 Si 0.489 0.489 0.533 1

---

# ScSiSe (PBE, relaxed)
# V	19.086	Å³/atom
# E_tot	-5.3702	eV per atom
# energy relative to the elements, uncorrected	-6.7	kcal/mol of atoms
data_ScSiSe
_space_group_name_H-M_alt 'P 1'
_space_group_IT_number 1
_cell_length_a 4.492
_cell_length_b 4.492
_cell_length_c 3.277
_cell_angle_alpha 90.00
_cell_angle_beta 90.00
_cell_angle_gamma 120.00
loop_
_space_group_symop_operation_xyz
'x,y,z'
loop_
_atom_site_label
_atom_site_type_symbol
_atom_site_fract_x
_atom_site_fract_y
_atom_site_fract_z
_atom_site_occupancy
Sc1 Sc 0.000 0.000 0.000 1
Se1 Se 0.333 0.667 0.500 1
Si1 Si 0.667 0.333 0.500 1

---

# ScSiSe2 (PBE, relaxed)
# V	20.627	Å³/atom
# E_tot	-5.1591	eV per atom
# energy relative to the elements, uncorrected	-11.0	kcal/mol of atoms
data_ScSiSe2
_space_group_name_H-M_alt 'P 1'
_space_group_IT_number 1
_cell_length_a 6.485
_cell_length_b 4.984
_cell_length_c 3.550
_cell_angle_alpha 76.31
_cell_angle_beta 79.41
_cell_angle_gamma 125.81
loop_
_space_group_symop_operation_xyz
'x,y,z'
loop_
_atom_site_label
_atom_site_type_symbol
_atom_site_fract_x
_atom_site_fract_y
_atom_site_fract_z
_atom_site_occupancy
Sc1 Sc 0.500 0.500 0.000 1
Se1 Se 0.000 0.000 0.000 1
Se2 Se 0.500 0.000 0.500 1
Si1 Si 0.000 0.500 0.500 1

---

# Sc4SiSe2 (PBE, relaxed)
# V	21.174	Å³/atom
# E_tot	-6.5267	eV per atom
# energy relative to the elements, uncorrected	-26.3	kcal/mol of atoms
data_Sc4SiSe2
_space_group_name_H-M_alt 'P 1'
_space_group_IT_number 1
_cell_length_a 3.816
_cell_length_b 6.493
_cell_length_c 12.518
_cell_angle_alpha 90.00
_cell_angle_beta 90.00
_cell_angle_gamma 107.09
loop_
_space_group_symop_operation_xyz
'x,y,z'
loop_
_atom_site_label
_atom_site_type_symbol
_atom_site_fract_x
_atom_site_fract_y
_atom_site_fract_z
_atom_site_occupancy
Sc1 Sc 0.780 0.560 0.129 1
Sc2 Sc 0.780 0.560 0.371 1
Sc3 Sc 0.220 0.440 0.871 1
Sc4 Sc 0.220 0.440 0.629 1
Sc5 Sc 0.957 0.913 0.750 1
Sc6 Sc 0.043 0.087 0.250 1
Sc7 Sc 0.500 0.000 0.000 1
Sc8 Sc 0.500 0.000 0.500 1
Si1 Si 0.607 0.215 0.750 1
Si2 Si 0.393 0.785 0.250 1
Se1 Se 0.138 0.277 0.436 1
Se2 Se 0.862 0.723 0.936 1
Se3 Se 0.138 0.277 0.064 1
Se4 Se 0.862 0.723 0.564 1

---

# ScSiSe2 (PBE, relaxed)
# V	20.826	Å³/atom
# E_tot	-5.2157	eV per atom
# energy relative to the elements, uncorrected	-12.3	kcal/mol of atoms
data_ScSiSe2
_space_group_name_H-M_alt 'P 1'
_space_group_IT_number 1
_cell_length_a 3.797
_cell_length_b 5.886
_cell_length_c 3.727
_cell_angle_alpha 90.00
_cell_angle_beta 90.00
_cell_angle_gamma 90.00
loop_
_space_group_symop_operation_xyz
'x,y,z'
loop_
_atom_site_label
_atom_site_type_symbol
_atom_site_fract_x
_atom_site_fract_y
_atom_site_fract_z
_atom_site_occupancy
Sc1 Sc 0.000 0.500 0.500 1
Se1 Se 0.000 0.000 0.000 1
Se2 Se 0.500 0.500 0.000 1
Si1 Si 0.500 0.000 0.500 1

---

# ScSiSe (PBE, relaxed)
# V	23.682	Å³/atom
# E_tot	-6.0063	eV per atom
# energy relative to the elements, uncorrected	-21.4	kcal/mol of atoms
data_ScSiSe
_space_group_name_H-M_alt 'P 1'
_space_group_IT_number 1
_cell_length_a 3.848
_cell_length_b 3.848
_cell_length_c 11.300
_cell_angle_alpha 80.20
_cell_angle_beta 80.20
_cell_angle_gamma 60.00
loop_
_space_group_symop_operation_xyz
'x,y,z'
loop_
_atom_site_label
_atom_site_type_symbol
_atom_site_fract_x
_atom_site_fract_y
_atom_site_fract_z
_atom_site_occupancy
Sc1 Sc 0.570 0.570 0.290 1
Sc2 Sc 0.430 0.430 0.710 1
Se1 Se 0.278 0.278 0.166 1
Se2 Se 0.722 0.722 0.834 1
Si1 Si 0.845 0.845 0.464 1
Si2 Si 0.155 0.155 0.536 1

---

# Sc6Si2SnSe3 (PBE, relaxed)
# V	21.439	Å³/atom
# E_tot	-6.4033	eV per atom
# energy relative to the elements, uncorrected	-26.0	kcal/mol of atoms
data_Sc6Si2SnSe3
_space_group_name_H-M_alt 'P 1'
_space_group_IT_number 1
_cell_length_a 3.869
_cell_length_b 7.976
_cell_length_c 8.832
_cell_angle_alpha 104.31
_cell_angle_beta 102.65
_cell_angle_gamma 90.00
loop_
_space_group_symop_operation_xyz
'x,y,z'
loop_
_atom_site_label
_atom_site_type_symbol
_atom_site_fract_x
_atom_site_fract_y
_atom_site_fract_z
_atom_site_occupancy
Sc1 Sc 0.328 0.901 0.655 1
Sc2 Sc 0.672 0.574 0.344 1
Sc3 Sc 0.672 0.099 0.345 1
Sc4 Sc 0.004 0.265 0.008 1
Sc5 Sc 0.996 0.735 0.992 1
Sc6 Sc 0.328 0.426 0.656 1
Si1 Si 0.834 0.667 0.667 1
Si2 Si 0.166 0.333 0.333 1
Sn1 Sn 0.500 0.000 0.000 1
Se1 Se 0.500 0.500 0.000 1
Se2 Se 0.835 0.169 0.670 1
Se3 Se 0.165 0.831 0.330 1

---

# Sc8SiTe4Se3 (PBE, relaxed)
# V	22.976	Å³/atom
# E_tot	-6.2417	eV per atom
# energy relative to the elements, uncorrected	-29.9	kcal/mol of atoms
data_Sc8SiTe4Se3
_space_group_name_H-M_alt 'P 1'
_space_group_IT_number 1
_cell_length_a 7.973
_cell_length_b 8.111
_cell_length_c 7.973
_cell_angle_alpha 119.44
_cell_angle_beta 120.00
_cell_angle_gamma 90.00
loop_
_space_group_symop_operation_xyz
'x,y,z'
loop_
_atom_site_label
_atom_site_type_symbol
_atom_site_fract_x
_atom_site_fract_y
_atom_site_fract_z
_atom_site_occupancy
Sc1 Sc 0.232 0.712 0.981 1
Sc2 Sc 0.232 0.712 0.463 1
Sc3 Sc 0.262 0.286 0.524 1
Sc4 Sc 0.749 0.712 0.981 1
Sc5 Sc 0.251 0.288 0.019 1
Sc6 Sc 0.738 0.714 0.476 1
Sc7 Sc 0.768 0.288 0.537 1
Sc8 Sc 0.768 0.288 0.019 1
Si1 Si 0.000 0.500 0.000 1
Te1 Te 0.500 0.000 0.000 1
Te2 Te 0.500 0.000 0.500 1
Te3 Te 0.000 0.000 0.000 1
Te4 Te 0.000 0.000 0.500 1
Se1 Se 0.500 0.500 0.000 1
Se2 Se 0.500 0.500 0.500 1
Se3 Se 0.000 0.500 0.500 1

---

# Sc6SiTe3Se2 (PBE, relaxed)
# V	23.001	Å³/atom
# E_tot	-6.2599	eV per atom
# energy relative to the elements, uncorrected	-29.4	kcal/mol of atoms
data_Sc6SiTe3Se2
_space_group_name_H-M_alt 'P 1'
_space_group_IT_number 1
_cell_length_a 6.906
_cell_length_b 6.906
_cell_length_c 7.065
_cell_angle_alpha 99.37
_cell_angle_beta 99.37
_cell_angle_gamma 119.98
loop_
_space_group_symop_operation_xyz
'x,y,z'
loop_
_atom_site_label
_atom_site_type_symbol
_atom_site_fract_x
_atom_site_fract_y
_atom_site_fract_z
_atom_site_occupancy
Sc1 Sc 0.929 0.611 0.787 1
Sc2 Sc 0.754 0.754 0.215 1
Sc3 Sc 0.071 0.389 0.213 1
Sc4 Sc 0.611 0.929 0.787 1
Sc5 Sc 0.246 0.246 0.785 1
Sc6 Sc 0.389 0.071 0.213 1
Si1 Si 0.000 0.000 0.000 1
Te1 Te 0.170 0.830 0.500 1
Te2 Te 0.830 0.170 0.500 1
Te3 Te 0.500 0.500 0.500 1
Se1 Se 0.334 0.666 0.000 1
Se2 Se 0.666 0.334 0.000 1

---

# Sc4SiTeSe2 (PBE, relaxed)
# V	21.866	Å³/atom
# E_tot	-6.3955	eV per atom
# energy relative to the elements, uncorrected	-29.7	kcal/mol of atoms
data_Sc4SiTeSe2
_space_group_name_H-M_alt 'P 1'
_space_group_IT_number 1
_cell_length_a 3.925
_cell_length_b 6.810
_cell_length_c 6.933
_cell_angle_alpha 70.72
_cell_angle_beta 90.00
_cell_angle_gamma 90.00
loop_
_space_group_symop_operation_xyz
'x,y,z'
loop_
_atom_site_label
_atom_site_type_symbol
_atom_site_fract_x
_atom_site_fract_y
_atom_site_fract_z
_atom_site_occupancy
Sc1 Sc 0.000 0.756 0.720 1
Sc2 Sc 0.000 0.244 0.280 1
Sc3 Sc 0.500 0.742 0.272 1
Sc4 Sc 0.500 0.258 0.728 1
Si1 Si 0.000 0.500 0.500 1
Te1 Te 0.500 0.500 0.000 1
Se1 Se 0.000 0.000 0.000 1
Se2 Se 0.500 0.000 0.500 1